A relaxed structure of BaTaRh, computed with PBE.

Results
- total magnetization (μB per formula unit) = 0.00
- N(E_F) (states/eV per atom) = 1.04
- formation energy from the elements (meV/atom) = 1850
- V (Å³ per cell) = 74.03
- SG = No. 216

```
3
Lattice="0.000 3.333 3.333 3.333 0.000 3.333 3.333 3.333 0.000" Properties=species:S:1:pos:R:3 pbc="T T T"
Rh 0.000 0.000 0.000
Ta 3.333 3.333 3.333
Ba 1.666 1.666 1.666
```


A relaxed structure of HOsRh, computed with PBE.

Results
- total magnetization (μB per formula unit) = 0.00
- total DFT energy (no corrections) (eV/atom) = -7.110
- N(E_F) (states/eV per atom) = 0.74
- V (Å³ per cell) = 63.41
- SG = No. 8

```
6
Lattice="2.760 0.001 0.000 1.380 4.629 0.008 1.378 0.024 4.963" Properties=species:S:1:pos:R:3 pbc="T T T"
H 3.670 2.306 3.925
H 2.289 2.515 1.220
Rh 0.908 1.358 1.815
Os 2.289 0.878 4.115
Rh 3.670 3.876 0.794
Os 2.290 3.471 3.141
```


A relaxed structure of Y2TmHg5, computed with PBE.

Results
- total magnetization (μB per formula unit) = 0.00
- N(E_F) (states/eV per atom) = 0.52
- formation energy from the elements (meV/atom) = -415
- V (Å³ per cell) = 196.14
- SG = No. 139

```
8
Lattice="5.191 0.000 0.000 0.000 5.191 0.000 -2.595 -2.595 7.280" Properties=species:S:1:pos:R:3 pbc="T T T"
Y 2.595 2.595 3.453
Hg 2.595 0.000 1.783
Hg 2.595 0.000 5.497
Hg 0.000 2.595 1.783
Y 0.000 0.000 3.827
Hg 2.595 2.595 0.000
Tm 0.000 0.000 0.000
Hg 0.000 2.595 5.497
```


A relaxed structure of CaMg2Te2, computed with PBE.

Results
- total magnetization (μB per formula unit) = 0.57
- N(E_F) (states/eV per atom) = 0.39
- V (Å³ per cell) = 279.54
- energy relative to the elements, uncorrected (eV/atom) = -0.639
- SG = No. 127

```
10
Lattice="-5.066 -3.869 -5.177 5.356 1.168 -6.114 1.826 -3.609 0.910" Properties=species:S:1:pos:R:3 pbc="T T T"
Te -0.694 -2.466 -8.386
Ca 0.145 -1.350 -5.645
Mg -1.516 -4.707 -6.180
Ca 0.000 0.000 0.000
Te 0.985 -0.234 -2.905
Mg 3.632 -1.603 -4.200
Te -2.486 -2.373 -4.423
Mg -0.144 -3.026 -2.266
Te 2.776 -0.328 -6.868
Mg 2.261 -3.284 -8.114
```


A relaxed structure of AlNiAs4, computed with PBE.

Results
- total magnetization (μB per formula unit) = 0.39
- N(E_F) (states/eV per atom) = 0.78
- formation energy from the elements (meV/atom) = 618
- V (Å³ per cell) = 115.10
- SG = No. 216

```
6
Lattice="5.190 0.010 1.695 1.359 2.574 4.619 1.437 -2.881 4.410" Properties=species:S:1:pos:R:3 pbc="T T T"
As 3.674 1.178 6.333
Ni 5.990 -0.223 8.043
Al 0.000 0.000 0.000
As 2.993 -0.111 4.019
As 5.593 -0.106 4.868
As 3.713 -1.555 6.228
```


A relaxed structure of URuC, computed with PBE.

Results
- total magnetization (μB per formula unit) = 0.00
- N(E_F) (states/eV per atom) = 0.99
- formation energy from the elements (meV/atom) = 107
- V (Å³ per cell) = 43.52
- SG = No. 156

```
3
Lattice="3.538 0.000 0.000 0.000 3.769 0.000 0.000 -1.884 3.264" Properties=species:S:1:pos:R:3 pbc="T T T"
U 1.089 0.000 2.176
C 3.242 0.000 0.000
Ru 2.744 1.884 1.088
```